1.
VASP calculation (GGA-PBE) on a geometry-optimized La4SnH structure.

Properties
As for the total energy: -4.785 eV per atom.

abc: 6.149 6.251 10.693
angles: 118.06 106.89 89.78
Positions (direct):
La (0.311, 0.595, 0.406)
La (0.094, 0.096, 0.407)
H (0.000, 0.500, 0.500)
La (0.620, 0.085, 0.824)
H (0.500, 0.000, 0.500)
Sn (0.214, 0.249, 0.000)
La (0.794, 0.411, 0.173)
La (0.906, 0.904, 0.593)
La (0.380, 0.915, 0.176)
La (0.689, 0.405, 0.594)
Sn (0.786, 0.751, 0.000)
La (0.206, 0.589, 0.827)

2.
VASP calculation (GGA-PBE) on a geometry-optimized Ac2BeSeO6 structure.

Properties
The formation energy from raw total energies comes out at -2278 meV/atom.

abc: 5.602 5.602 10.233
angles: 74.12 74.12 60.00
Positions (direct):
O (0.887, 0.364, 0.385)
Se (0.000, 0.000, 0.000)
O (0.786, 0.298, 0.130)
O (0.364, 0.887, 0.385)
Se (0.500, 0.500, 0.500)
O (0.364, 0.364, 0.385)
Ac (0.868, 0.868, 0.395)
Ac (0.729, 0.729, 0.814)
O (0.113, 0.636, 0.615)
O (0.214, 0.214, 0.870)
O (0.636, 0.113, 0.615)
Be (0.618, 0.618, 0.146)
Be (0.382, 0.382, 0.854)
O (0.786, 0.786, 0.130)
Ac (0.271, 0.271, 0.186)
O (0.214, 0.702, 0.870)
Ac (0.132, 0.132, 0.605)
O (0.702, 0.214, 0.870)
O (0.636, 0.636, 0.615)
O (0.298, 0.786, 0.130)

3.
VASP calculation (GGA-PBE) on a geometry-optimized MnSn2Rh structure.

Properties
The value obtained for the formation energy from the elements is 0.19 eV/atom.

abc: 7.473 7.473 6.044
angles: 51.82 51.82 90.00
Site moments in Bohr magnetons follow the coordinates.
Positions (direct):
Sn (0.643, 0.125, 0.250)  -0.06
Mn (0.250, 0.750, 0.500)  3.71
Sn (0.375, 0.357, 0.750)  -0.06
Rh (0.000, 0.000, 0.000)  0.08
Rh (0.750, 0.250, 0.500)  0.08
Sn (0.875, 0.893, 0.750)  -0.06
Mn (0.500, 0.500, 0.000)  3.71
Sn (0.107, 0.625, 0.250)  -0.07

4.
VASP calculation (GGA-PBE) on a geometry-optimized Cs2Li2ThSe4 structure.

Properties
The formation energy from raw total energies comes out at -1497 meV/atom.

abc: 4.426 8.361 8.313
angles: 108.32 105.44 90.00
Positions (direct):
Li (0.319, 0.014, 0.639)
Th (0.000, 0.000, 0.000)
Li (0.681, 0.986, 0.361)
Cs (0.140, 0.567, 0.281)
Se (0.518, 0.778, 0.035)
Se (0.482, 0.222, 0.965)
Se (0.808, 0.849, 0.617)
Se (0.192, 0.151, 0.383)
Cs (0.860, 0.433, 0.719)